# 1
The following is a PBE-GGA calculation of InReW2 after structural relaxation, from Alexandria.

a = 4.192 Å, b = 3.996 Å, c = 3.996 Å
α = 90.00°, β = 90.00°, γ = 90.00°
Positions (direct):
In 0.500 0.500 0.000
Re 0.500 0.000 0.500
W 0.000 0.000 0.000
W 0.000 0.500 0.500

Values from the calculation:
VASP energy: -9.683 eV per atom
D(E_F): 3.444 states/eV/cell
SG: P4/mmm (123)
Energy relative to the elements: 0.5905 eV/atom



# 2
The following is a PBE-GGA calculation of InReW2 after structural relaxation, from Alexandria.

a = 9.446 Å, b = 9.446 Å, c = 9.446 Å
α = 17.75°, β = 17.75°, γ = 17.75°
Positions (direct):
In 0.498 0.498 0.498
Re 0.745 0.745 0.745
W 0.003 0.003 0.003
W 0.254 0.254 0.254

Values from the calculation:
VASP energy: -9.808 eV per atom
D(E_F): 3.310 states/eV/cell
SG: R3m (160)
Energy relative to the elements: 0.4656 eV/atom